Density functional theory data (GGA-PBE) for AgIO3 after structural relaxation.

Total magnetic moment: 0.000 μB per atom
Calculated total energy: -3.847 eV per atom

Lattice parameters (Å, degrees): 4.1087 4.1087 4.1087 90.00 90.00 90.00
Space group Pm-3m (No. 221)
One atom of each set of equivalent atoms:
Ag  0.0000  0.0000  0.0000
I  0.5000  0.5000  0.5000
O  0.0000  0.5000  0.5000